Here is an optimized crystal structure of Zn2RuPt from Alexandria. Energies are from PBE.

It has space group I-42d (No. 122), with a = 6.889 Å, b = 6.889 Å, c = 5.380 Å, α = 90.00°, β = 90.00° and γ = 90.00°. The distinct sites, in fractional coordinates, are Zn at (0.247, 0.250, 0.125), Ru at (0.000, 0.000, 0.500) and Pt at (0.000, 0.000, 0.000).

The value obtained for the volume is 15.959 A^3/atom. Its density is 11.11 g/cm³. The energy is -4.219 eV/atom. Its energy of formation from the pure elements is 23.8 kJ per mole of atoms.